No. 1
First-principles (PBE-GGA) data for an optimized crystal structure of SmInPtO6, as listed in Alexandria.

a b c (Å): 4.975 4.975 10.110
angles (deg): 90.00 90.00 90.00
Site moments in Bohr magnetons follow the coordinates.
Sites, in units of the cell vectors:
Sm: 0.500 0.500 0.504  0.00
Sm: 0.000 0.000 0.004  0.00
In: 0.500 0.500 0.166  0.00
In: 0.000 0.000 0.666  0.00
Pt: 0.500 0.500 0.833  0.30
Pt: 0.000 0.000 0.333  0.30
O: 0.179 0.821 0.484  0.04
O: 0.821 0.179 0.484  0.04
O: 0.321 0.321 0.984  0.04
O: 0.679 0.679 0.984  0.04
O: 0.195 0.805 0.186  0.05
O: 0.805 0.195 0.186  0.05
O: 0.305 0.305 0.686  0.05
O: 0.695 0.695 0.686  0.05
O: 0.777 0.223 0.829  0.17
O: 0.223 0.777 0.829  0.17
O: 0.723 0.723 0.329  0.17
O: 0.277 0.277 0.329  0.17

The energy relative to the elements, uncorrected is -12.6 eV per formula unit. As for the density of states at the Fermi level: 13.475 states/eV per cell. As for the symmetry: P4_2nm (102). The calculation puts the total magnetic moment at 1.9 Bohr magnetons per cell.

No. 2
First-principles (PBE-GGA) data for an optimized crystal structure of GeAs, as listed in Alexandria.

a b c (Å): 8.698 3.820 6.610
angles (deg): 90.00 104.84 90.00
Sites, in units of the cell vectors:
Ge: 0.040 0.000 0.280
Ge: 0.040 0.500 0.780
Ge: 0.336 0.000 0.379
Ge: 0.336 0.500 0.879
As: 0.473 0.000 0.092
As: 0.473 0.500 0.592
As: 0.904 0.000 0.900
As: 0.904 0.500 0.400

The value obtained for the formation energy is -0.029 eV per atom. As for the density of states at the Fermi level: 0.066 states/eV per cell. As for the symmetry: Cm (8). The calculation puts the total magnetic moment at 0.0 Bohr magnetons per cell.

No. 3
First-principles (PBE-GGA) data for an optimized crystal structure of BaRu2Au, as listed in Alexandria.

a b c (Å): 5.088 5.088 5.088
angles (deg): 125.68 125.68 80.41
Site moments in Bohr magnetons follow the coordinates.
Sites, in units of the cell vectors:
Au: 0.500 0.500 0.000  0.02
Ba: 0.750 0.250 0.500  -0.02
Ru: 0.000 0.000 0.000  1.40
Ru: 0.250 0.750 0.500  1.43

The value obtained for the formation energy is 0.840 eV per atom. As for the density of states at the Fermi level: 3.955 states/eV per cell. As for the symmetry: I-4m2 (119). The polymorph energy (0 for the lowest one) comes out at 710 meV per atom. The calculation puts the total magnetic moment at 2.9 Bohr magnetons per cell.

No. 4
First-principles (PBE-GGA) data for an optimized crystal structure of Nd2Th3Ni2, as listed in Alexandria.

a b c (Å): 3.769 6.260 9.037
angles (deg): 69.78 77.96 72.48
Sites, in units of the cell vectors:
Nd: 0.166 0.472 0.197
Nd: 0.834 0.528 0.803
Th: 0.500 0.000 0.000
Th: 0.380 0.806 0.434
Th: 0.620 0.194 0.566
Ni: 0.136 0.940 0.787
Ni: 0.864 0.060 0.213

The value obtained for the formation energy is -0.228 eV per atom. As for the density of states at the Fermi level: 7.181 states/eV per cell. As for the symmetry: C2/m (12). The calculation puts the total magnetic moment at 0.0 Bohr magnetons per cell.

Question: What is the formula in the third record?
Answer: BaRu2Au

Question: Among the records above, which one has the highest total magnetic moment?
Answer: BaRu2Au